[1]
P2HOsCl: relaxed, PBE-GGA.

Results
- calculated volume (Å³ per atom) = 21.3
- relative energy among the computed polymorphs (meV per atom) = 0
- space-group type = No. 123
- electronic total energy (eV per atom) = -4.629

```
P2HOsCl
1.0
-2.844 1.869 -2.927
-3.391 -0.678 2.862
0.882 4.739 2.168
Cl H P Os
1 1 2 1
Cartesian
0.441 2.369 1.084
-2.676 2.965 1.052
-1.695 -0.339 1.431
-1.422 0.934 -1.463
0.000 0.000 0.000
```



[2]
PHOsCl2: relaxed, PBE-GGA.

Results
- calculated volume (Å³ per atom) = 13.6
- relative energy among the computed polymorphs (meV per atom) = 539
- space-group type = No. 123
- electronic total energy (eV per atom) = -3.478

```
PHOsCl2
1.0
4.598 0.000 0.000
0.000 4.598 0.000
0.000 0.000 3.227
P Os H Cl
1 1 1 2
Cartesian
0.000 0.000 1.613
2.299 2.299 1.613
0.000 0.000 0.000
2.299 0.000 0.000
0.000 2.299 0.000
```



[3]
PHOsCl2: relaxed, PBE-GGA.

Results
- calculated volume (Å³ per atom) = 22.1
- relative energy among the computed polymorphs (meV per atom) = 0
- space-group type = No. 123
- electronic total energy (eV per atom) = -4.017

```
PHOsCl2
1.0
4.975 0.000 0.000
0.000 4.975 0.000
0.000 0.000 4.460
H Os P Cl
1 1 1 2
Cartesian
2.487 2.487 2.230
0.000 0.000 0.000
0.000 0.000 2.230
0.000 2.487 0.000
2.487 0.000 0.000
```



[4]
P2HOsCl: relaxed, PBE-GGA.

Results
- calculated volume (Å³ per atom) = 12.5
- relative energy among the computed polymorphs (meV per atom) = 291
- space-group type = No. 123
- electronic total energy (eV per atom) = -4.338

```
P2HOsCl
1.0
3.721 0.000 0.000
0.000 3.721 0.000
0.000 0.000 4.523
Os P Cl H
1 2 1 1
Cartesian
1.861 1.861 2.262
0.000 1.861 0.000
1.861 0.000 0.000
0.000 0.000 2.262
0.000 0.000 0.000
```



[5]
Pr4HOsCl2: relaxed, PBE-GGA.

Results
- calculated volume (Å³ per atom) = 25.6
- space-group type = No. 10
- electronic total energy (eV per atom) = -5.509

```
Pr4HOsCl2
1.0
4.026 0.000 0.000
0.000 6.702 0.059
0.000 -2.402 7.568
Pr Cl H Os
4 2 1 1
Cartesian
0.000 4.510 1.611
2.013 3.258 6.039
0.000 -0.210 6.015
2.013 1.043 1.587
0.000 2.150 3.813
2.013 -1.201 3.784
0.000 0.000 0.000
2.013 3.351 0.029
```



[6]
Pr8HOs3Cl4: relaxed, PBE-GGA.

Results
- calculated volume (Å³ per atom) = 27.3
- space-group type = No. 166
- electronic total energy (eV per atom) = -5.974

```
Pr8HOs3Cl4
1.0
-0.382 -6.226 -5.160
7.192 -3.700 3.932
-6.304 1.680 4.790
Pr Cl Os H
8 4 3 1
Cartesian
-1.324 -5.541 3.622
1.640 -5.804 -2.630
1.830 -2.704 -0.061
-1.134 -2.442 6.191
1.851 -6.434 1.276
-1.345 -1.812 2.286
2.005 -3.277 3.806
-1.499 -4.968 -0.244
-3.152 0.840 2.395
-0.191 -3.113 -2.580
0.000 0.000 0.000
-3.343 -2.273 -0.185
0.444 -1.010 4.361
0.253 -4.123 1.781
3.405 -4.963 -0.614
3.596 -1.850 1.966
```



[7]
Pr6HOs2Cl3: relaxed, PBE-GGA.

Results
- calculated volume (Å³ per atom) = 27.0
- space-group type = No. 12
- electronic total energy (eV per atom) = -5.853

```
Pr6HOs2Cl3
1.0
-4.338 5.249 -1.573
0.322 -5.635 -4.121
-4.173 -3.200 6.037
Cl H Os Pr
3 1 2 6
Cartesian
-5.619 1.768 1.005
-4.094 -1.793 0.171
-2.570 -5.355 -0.663
0.000 0.000 0.000
-2.785 1.621 -2.422
-1.231 -2.007 -3.272
-7.159 -1.015 0.869
-5.601 -4.655 0.016
-2.588 1.069 0.326
-1.030 -2.571 -0.526
-3.802 -0.937 -2.949
-4.387 -2.649 3.292
```



[8]
Pr8HOs3Cl3: relaxed, PBE-GGA.

Results
- calculated volume (Å³ per atom) = 28.8
- space-group type = No. 12
- electronic total energy (eV per atom) = -5.995

```
Pr8HOs3Cl3
1.0
-1.328 -0.904 8.050
-3.944 -4.805 -5.369
8.589 -1.412 1.257
Os Pr Cl H
3 8 3 1
Cartesian
2.323 -3.109 -2.056
3.631 -1.158 4.653
1.659 -3.561 1.969
-0.567 -3.603 3.690
1.295 -6.323 1.566
1.945 -5.878 -2.391
0.037 -3.154 -0.347
2.023 -0.799 2.372
3.281 -3.968 4.284
1.372 -1.243 6.328
3.885 -3.518 0.248
0.000 0.000 0.000
-2.636 -2.855 1.340
-1.972 -2.403 -2.684
4.295 -0.706 0.629
```



[9]
HOsPt2Cl: relaxed, PBE-GGA.

Results
- calculated volume (Å³ per atom) = 13.7
- space-group type = No. 123
- electronic total energy (eV per atom) = -4.835

```
HOsPt2Cl
1.0
4.927 0.000 0.000
0.000 2.812 0.000
0.000 0.000 4.927
Os H Pt Cl
1 1 2 1
Cartesian
2.463 1.406 2.463
0.000 1.406 0.000
2.463 0.000 0.000
0.000 0.000 2.463
0.000 0.000 0.000
```



[10]
RbH2OsCl8: relaxed, PBE-GGA.

Results
- calculated volume (Å³ per atom) = 30.5
- space-group type = No. 2
- electronic total energy (eV per atom) = -3.543

```
RbH2OsCl8
1.0
6.892 0.263 -0.004
0.436 6.915 -2.186
-0.065 -3.352 8.749
H Os Cl Rb
2 1 8 1
Cartesian
4.697 2.577 1.633
2.567 1.249 4.926
0.000 0.000 0.000
1.077 1.970 0.545
1.817 3.299 4.729
2.941 -0.006 5.011
5.447 0.527 1.830
5.342 -1.914 7.420
4.323 3.833 1.548
6.187 1.856 6.014
1.922 5.740 -0.861
-0.032 -1.676 4.374
```



[11]
HOsRhCl2: relaxed, PBE-GGA.

Results
- calculated volume (Å³ per atom) = 13.3
- space-group type = No. 123
- electronic total energy (eV per atom) = -3.905

```
HOsRhCl2
1.0
-0.515 -2.615 -3.635
0.323 -3.671 2.595
-3.255 0.027 0.443
H Rh Cl Os
1 1 2 1
Cartesian
0.000 0.000 0.000
-1.628 0.013 0.221
-0.258 -1.307 -1.817
0.161 -1.835 1.298
-1.724 -3.130 -0.299
```



[12]
HOsS2Cl: relaxed, PBE-GGA.

Results
- calculated volume (Å³ per atom) = 20.9
- relative energy among the computed polymorphs (meV per atom) = 0
- space-group type = No. 123
- electronic total energy (eV per atom) = -4.247

```
HOsS2Cl
1.0
-2.693 -1.178 -3.406
2.917 -3.209 -1.196
-2.427 -3.353 3.079
Os H S Cl
1 1 2 1
Cartesian
0.000 0.000 0.000
-1.101 -3.870 -0.762
1.458 -1.605 -0.598
-1.346 -0.589 -1.703
-1.214 -1.677 1.539
```



[13]
HOsSCl2: relaxed, PBE-GGA.

Results
- calculated volume (Å³ per atom) = 14.3
- relative energy among the computed polymorphs (meV per atom) = 748
- space-group type = No. 123
- electronic total energy (eV per atom) = -3.179

```
HOsSCl2
1.0
-0.929 -0.153 4.701
-0.948 -4.687 -0.340
2.991 -0.646 0.570
Cl S Os H
2 1 1 1
Cartesian
-0.474 -2.344 -0.170
-0.464 -0.077 2.350
1.496 -0.323 0.285
0.557 -2.743 2.465
0.000 0.000 0.000
```



[14]
HOsSCl2: relaxed, PBE-GGA.

Results
- calculated volume (Å³ per atom) = 21.5
- relative energy among the computed polymorphs (meV per atom) = 0
- space-group type = No. 123
- electronic total energy (eV per atom) = -3.926

```
HOsSCl2
1.0
-4.090 0.361 2.760
-2.727 -1.504 -3.845
0.495 -4.167 1.278
Cl Os H S
2 1 1 1
Cartesian
-2.045 0.180 1.380
-1.364 -0.752 -1.922
0.000 0.000 0.000
-3.161 -2.655 0.097
0.248 -2.083 0.639
```



[15]
HOsS2Cl: relaxed, PBE-GGA.

Results
- calculated volume (Å³ per atom) = 13.0
- relative energy among the computed polymorphs (meV per atom) = 634
- space-group type = No. 123
- electronic total energy (eV per atom) = -3.613

```
HOsS2Cl
1.0
-2.159 -0.345 -3.089
0.544 -3.745 0.038
-3.660 -0.505 2.615
Cl H S Os
1 1 2 1
Cartesian
-1.830 -0.253 1.307
0.000 0.000 0.000
-1.080 -0.172 -1.544
0.272 -1.872 0.019
-2.637 -2.297 -0.218
```



[16]
HOsSe2Cl: relaxed, PBE-GGA.

Results
- calculated volume (Å³ per atom) = 23.7
- space-group type = No. 123
- electronic total energy (eV per atom) = -3.888

```
HOsSe2Cl
1.0
4.774 0.000 0.000
0.000 5.190 0.000
0.000 0.000 4.774
Cl Se H Os
1 2 1 1
Cartesian
0.000 2.595 0.000
0.000 0.000 2.387
2.387 0.000 0.000
2.387 2.595 2.387
0.000 0.000 0.000
```



[17]
Sm6HOs2Cl3: relaxed, PBE-GGA.

Results
- calculated volume (Å³ per atom) = 25.4
- space-group type = No. 12
- electronic total energy (eV per atom) = -5.828

```
Sm6HOs2Cl3
1.0
6.845 -0.006 -0.005
-3.426 5.926 -0.005
-1.145 -1.982 7.529
H Sm Os Cl
1 6 2 3
Cartesian
0.000 0.000 0.000
2.279 -0.002 1.540
3.414 1.964 5.980
2.283 3.953 1.513
-0.005 3.939 5.980
-0.009 -0.016 6.007
-1.141 1.973 1.540
-0.007 3.951 -0.005
3.426 1.968 -0.005
1.137 1.969 3.760
-2.250 3.925 3.760
4.524 0.012 3.760
```



[18]
TaHOsCl2: relaxed, PBE-GGA.

Results
- calculated volume (Å³ per atom) = 13.8
- space-group type = No. 123
- electronic total energy (eV per atom) = -4.882

```
TaHOsCl2
1.0
4.307 0.000 0.000
0.000 3.724 0.000
0.000 0.000 4.307
Ta Os Cl H
1 1 2 1
Cartesian
0.000 1.862 0.000
2.154 1.862 2.154
2.154 0.000 0.000
0.000 0.000 2.154
0.000 0.000 0.000
```



[19]
TlHOsCl6: relaxed, PBE-GGA.

Results
- calculated volume (Å³ per atom) = 28.8
- space-group type = No. 1
- electronic total energy (eV per atom) = -3.672

```
TlHOsCl6
1.0
8.349 0.284 1.094
4.419 5.083 1.670
0.992 1.201 6.690
Cl Os Tl H
6 1 1 1
Cartesian
2.166 1.385 4.333
4.901 1.270 6.175
6.523 3.006 3.854
3.705 4.202 5.155
9.404 5.239 4.703
3.792 3.103 2.022
4.347 2.190 4.100
1.224 0.713 0.952
10.627 4.881 5.428
```



[20]
PHCl2: relaxed, PBE-GGA.

Results
- calculated volume (Å³ per atom) = 16.6
- relative energy among the computed polymorphs (meV per atom) = 360
- space-group type = No. 122
- electronic total energy (eV per atom) = -2.402

```
PHCl2
1.0
-2.888 1.657 -5.182
-5.233 0.758 3.159
-3.214 4.557 -0.412
H Cl P
2 4 2
Cartesian
-4.061 1.208 -1.012
-6.254 3.261 0.867
-4.558 1.890 1.003
-5.678 4.355 -0.934
-9.295 5.499 -2.214
-3.140 2.199 -2.727
-5.081 3.711 -3.303
0.000 0.000 0.000
```



[21]
P2HCl8: relaxed, PBE-GGA.

Results
- calculated volume (Å³ per atom) = 35.7
- space-group type = No. 12
- electronic total energy (eV per atom) = -2.858

```
P2HCl8
1.0
7.185 -0.036 -0.028
-0.071 7.491 -0.145
-0.071 1.877 7.253
P H Cl
2 1 8
Cartesian
4.755 7.730 5.865
2.288 1.601 1.215
0.000 0.000 0.000
1.094 7.181 1.630
1.094 3.503 6.477
2.780 6.979 5.295
5.871 6.374 4.837
1.171 2.957 2.244
4.263 2.353 1.785
5.948 5.828 0.603
5.948 2.150 5.451
```



[22]
PH2Cl8: relaxed, PBE-GGA.

Results
- calculated volume (Å³ per atom) = 31.4
- space-group type = No. 12
- electronic total energy (eV per atom) = -2.834

```
PH2Cl8
1.0
9.624 0.000 0.000
-4.812 4.152 -2.244
0.000 -2.080 9.778
H Cl P
2 8 1
Cartesian
0.000 0.218 3.759
4.812 1.854 3.775
6.323 0.847 6.648
4.812 2.882 -0.491
3.301 0.847 6.648
1.511 1.225 0.885
-1.511 1.225 0.885
4.812 1.064 2.748
0.000 -0.810 8.025
0.000 1.008 4.785
0.000 0.000 0.000
```



[23]
PH3Cl: relaxed, PBE-GGA.

Results
- calculated volume (Å³ per atom) = 14.3
- relative energy among the computed polymorphs (meV per atom) = 0
- space-group type = No. 160
- electronic total energy (eV per atom) = -3.526

```
PH3Cl
1.0
4.205 -0.215 -0.757
-0.867 4.120 -0.757
-0.184 -0.215 4.269
P Cl H
1 1 3
Cartesian
1.878 2.197 1.640
0.181 0.212 0.158
1.133 1.326 2.477
2.607 1.326 0.789
0.904 2.781 0.789
```



[24]
PH2Cl6: relaxed, PBE-GGA.

Results
- calculated volume (Å³ per atom) = 31.8
- space-group type = No. 15
- electronic total energy (eV per atom) = -3.095

```
PH2Cl6
1.0
5.188 -0.147 2.733
3.301 9.800 0.083
-2.258 -0.546 10.077
P Cl H
2 12 4
Cartesian
3.768 8.217 2.260
2.464 0.890 10.633
5.280 2.059 2.564
5.057 5.030 9.709
4.716 9.152 9.592
1.516 -0.045 3.301
1.565 2.579 9.952
-0.924 1.026 6.960
3.252 6.573 6.923
7.155 8.081 5.933
4.666 6.528 2.941
0.952 7.048 10.329
2.979 2.534 5.970
1.175 4.077 3.184
4.408 5.612 8.737
1.823 3.495 4.156
2.037 6.099 6.970
4.195 3.007 5.923
```